TeOsN2F | PBE | relaxed

Cell: 4.197 4.197 4.105 Å, 90.00 90.00 90.00°
Fractional coordinates of all 5 atoms:
Te 0.000 0.000 0.000
Os 0.500 0.500 0.500
N 0.000 0.500 0.000
N 0.500 0.000 0.000
F 0.000 0.000 0.500

Results
The value obtained for the total energy is -23.9 eV/cell. The energy above the most stable polymorph in this dataset is 35.40 kcal/mol of atoms. As for the uncorrected formation energy: 1804 meV per atom.